Record 1
## RbNaMnS3 (PBE)

Data for a relaxed RbNaMnS3 crystal.

Summary:
Formation energy from raw total energies   -0.84 eV/atom
Total magnetization   12.0 μB per cell
V   153.0 Å³/f.u.

Lattice parameters (Å, degrees): 7.0462 13.1857 6.5875 90.00 90.00 90.00
Closest atoms and distances in Å follow each position.
Space group Cmcm (No. 63)
Inequivalent atoms, fractional coordinates:
1 Rb 0.0000 0.2399 0.2500 (multiplicity 4)  4 S 3.31-3.58
2 Na 0.0000 0.4177 0.7500 (multiplicity 4)  5 S 2.71-2.82
3 Mn 0.0000 0.0467 0.7500 (multiplicity 4)  5 S 2.18-2.32
4 S 0.0000 0.2122 0.7500 (multiplicity 4)  1 Mn 2.18
5 S 0.2144 0.0000 0.0000 (multiplicity 8)  2 Mn 2.32


Record 2
## RbNaTa2Mn (PBE)

Data for a relaxed RbNaTa2Mn crystal.

Summary:
Total magnetization   0.7 μB per cell
V   131.3 Å³/f.u.
Energy of formation from the pure elements   1.118 eV/atom

Lattice parameters (Å, degrees): 4.6243 4.6243 6.1381 90.00 90.00 90.00
Closest atoms and distances in Å follow each position.
Space group P4/mmm (No. 123)
Inequivalent atoms, fractional coordinates:
1 Rb 0.0000 0.0000 0.0000 (multiplicity 1)  4 Na 3.27
2 Na 0.5000 0.5000 0.0000 (multiplicity 1)  2 Mn 3.07, 4 Rb 3.27
3 Ta 0.0000 0.5000 0.5000 (multiplicity 2)  2 Mn 2.31
4 Mn 0.5000 0.5000 0.5000 (multiplicity 1)  4 Ta 2.31


Record 3
## Na2MnRe (PBE)

Data for a relaxed Na2MnRe crystal.

Summary:
Total magnetization   0.0 μB per cell
V   68.6 Å³/f.u.
Energy of formation from the pure elements   2.154 eV/atom

Lattice parameters (Å, degrees): 6.4977 6.4977 6.4977 90.00 90.00 90.00
Closest atoms and distances in Å follow each position.
Space group Fm-3m (No. 225)
Inequivalent atoms, fractional coordinates:
1 Na 0.2500 0.2500 0.2500 (multiplicity 8)  4 Mn 2.81, 4 Re 2.81
2 Mn 0.0000 0.0000 0.0000 (multiplicity 4)  8 Na 2.81
3 Re 0.0000 0.0000 0.5000 (multiplicity 4)  8 Na 2.81


Record 4
## Na2MnRe (PBE)

Data for a relaxed Na2MnRe crystal.

Summary:
Total magnetization   10.2 μB per cell
V   81.6 Å³/f.u.
Energy of formation from the pure elements   1.486 eV/atom

Lattice parameters (Å, degrees): 8.1347 8.1347 4.9330 90.00 90.00 90.00
Closest atoms and distances in Å follow each position.
Space group I-42d (No. 122)
Inequivalent atoms, fractional coordinates:
1 Na 0.2358 0.2500 0.1250 (multiplicity 8)  2 Na 2.48
2 Mn 0.0000 0.0000 0.0000 (multiplicity 4)  2 Re 2.47
3 Re 0.0000 0.0000 0.5000 (multiplicity 4)  2 Mn 2.47


Look up the V of the fourth one. 81.6 Å³/f.u.


Please write out number 4 again, unchanged.
## Na2MnRe (PBE)

Data for a relaxed Na2MnRe crystal.

Summary:
Total magnetization   10.2 μB per cell
V   81.6 Å³/f.u.
Energy of formation from the pure elements   1.486 eV/atom

Lattice parameters (Å, degrees): 8.1347 8.1347 4.9330 90.00 90.00 90.00
Closest atoms and distances in Å follow each position.
Space group I-42d (No. 122)
Inequivalent atoms, fractional coordinates:
1 Na 0.2358 0.2500 0.1250 (multiplicity 8)  2 Na 2.48
2 Mn 0.0000 0.0000 0.0000 (multiplicity 4)  2 Re 2.47
3 Re 0.0000 0.0000 0.5000 (multiplicity 4)  2 Mn 2.47


The lowest V belongs to which entry? number 3